DFT (PBE-GGA) results for a relaxed structure of Pm12CdPd6.

Cell and atoms, written as extended XYZ:
```
19
Lattice="-5.915 2.608 -6.061 5.582 -5.840 -3.642 -4.221 -3.796 6.805" Properties=species:S:1:pos:R:3 pbc="T T T"
Pd 0.332 -5.144 -3.694
Pd -5.190 -1.777 -3.181
Pd -3.030 -5.253 1.854
Pd -4.886 -1.884 0.795
Pd 0.636 -5.251 0.282
Pd -1.524 -1.775 -4.752
Pm -1.465 -6.080 -1.340
Pm -3.649 -0.052 -5.253
Pm -3.101 -3.932 -3.980
Pm -3.089 -0.948 -1.558
Pm 0.150 -2.734 -2.318
Pm 2.616 -5.602 -1.640
Pm -4.705 -4.294 -0.580
Pm 0.016 -4.035 -6.225
Pm -7.170 -1.426 -1.259
Pm -1.453 -3.097 1.081
Pm -0.905 -6.976 2.354
Pm -4.570 -2.993 3.326
Cd 0.000 0.000 0.000
```

Results
Energy relative to the elements   -0.5247 eV/atom
Relative energy among the computed polymorphs   0 meV/atom
Crystal system   cubic
ρ   7.72 g/cm3
Density of states at the Fermi level   0.87 states/eV/atom
M_tot   0.000 μB per formula unit

=====

DFT (PBE-GGA) results for a relaxed structure of Pt3Au.

Cell and atoms, written as extended XYZ:
```
8
Lattice="4.773 0.000 0.000 0.000 4.865 0.000 0.000 0.000 5.620" Properties=species:S:1:pos:R:3 pbc="T T T"
Pt 0.000 4.073 1.405
Pt 2.387 3.272 0.000
Pt 0.000 4.073 4.215
Pt 0.000 1.593 2.810
Pt 2.387 0.792 4.215
Pt 2.387 0.792 1.405
Au 0.000 1.651 0.000
Au 2.387 3.214 2.810
```

Results
Energy relative to the elements   0.1014 eV/atom
Crystal system   orthorhombic
ρ   19.91 g/cm3
Density of states at the Fermi level   1.74 states/eV/atom
M_tot   0.000 μB per formula unit

=====

DFT (PBE-GGA) results for a relaxed structure of CsCdGaSb2.

Cell and atoms, written as extended XYZ:
```
5
Lattice="-2.458 -3.111 2.356 0.188 -2.876 -3.601 8.068 -0.250 3.575" Properties=species:S:1:pos:R:3 pbc="T T T"
Ga 2.238 -3.177 2.654
Cs 0.000 0.000 0.000
Cd 3.561 -3.059 -0.324
Sb 4.938 -2.310 2.103
Sb 0.860 -3.926 0.227
```

Results
E_tot   -14.361 eV per cell
Crystal system   tetragonal
ρ   5.32 g/cm3
Density of states at the Fermi level   0.31 states/eV/atom
M_tot   0.000 μB per formula unit

=====

DFT (PBE-GGA) results for a relaxed structure of LiDy2Be4Pt3.

Cell and atoms, written as extended XYZ:
```
10
Lattice="4.048 0.000 0.000 0.000 4.048 0.000 0.000 0.000 9.327" Properties=species:S:1:pos:R:3 pbc="T T T"
Pt 2.024 0.000 8.122
Pt 0.000 2.024 1.205
Pt 0.000 0.000 4.663
Be 2.024 2.024 0.000
Be 0.000 0.000 0.000
Be 2.024 0.000 5.816
Be 0.000 2.024 3.511
Dy 2.024 0.000 2.301
Dy 0.000 2.024 7.026
Li 2.024 2.024 4.663
```

Results
Energy relative to the elements   -0.6915 eV/atom
Crystal system   tetragonal
ρ   10.36 g/cm3
Density of states at the Fermi level   0.61 states/eV/atom
M_tot   0.000 μB per formula unit

=====

DFT (PBE-GGA) results for a relaxed structure of TmPu2Tl3Se6.

Cell and atoms, written as extended XYZ:
```
12
Lattice="-2.239 -0.668 6.903 6.688 -2.192 -1.889 1.275 8.003 -0.092" Properties=species:S:1:pos:R:3 pbc="T T T"
Tm 0.000 0.000 0.000
Tl 2.862 2.571 2.461
Tl -0.101 3.077 5.379
Tl 5.825 2.065 -0.457
Se 5.901 3.933 2.336
Se -0.176 1.209 2.586
Se 2.970 4.433 5.222
Se 3.552 -0.483 3.690
Se 2.173 5.625 1.232
Se 2.755 0.709 -0.300
Pu 0.739 -1.177 3.971
Pu 3.711 -1.684 1.043
```

Results
E_tot   -75.390 eV per cell
Crystal system   monoclinic
ρ   8.14 g/cm3
Density of states at the Fermi level   1.82 states/eV/atom
M_tot   10.000 μB per formula unit

=====

DFT (PBE-GGA) results for a relaxed structure of Hg2BCl.

Cell and atoms, written as extended XYZ:
```
8
Lattice="6.193 0.000 0.000 0.000 6.193 0.000 3.097 3.097 5.260" Properties=species:S:1:pos:R:3 pbc="T T T"
Hg 4.645 5.251 3.945
Hg 2.154 4.645 1.315
Hg 4.040 1.548 1.315
Hg 7.742 7.136 3.945
B 3.097 3.097 0.000
B 3.097 6.193 2.630
Cl 6.193 3.097 2.630
Cl 0.000 0.000 0.000
```

Results
Relative energy among the computed polymorphs   0 meV/atom
Crystal system   tetragonal
ρ   7.36 g/cm3
Density of states at the Fermi level   0.19 states/eV/atom
M_tot   0.000 μB per formula unit

=====

DFT (PBE-GGA) results for a relaxed structure of Sb2MoRu.

Cell and atoms, written as extended XYZ:
```
4
Lattice="4.641 0.000 0.000 0.000 4.641 0.000 0.000 0.000 3.294" Properties=species:S:1:pos:R:3 pbc="T T T"
Sb 0.000 0.000 0.000
Sb 2.320 2.320 0.000
Mo 2.320 0.000 1.647
Ru 0.000 2.320 1.647
```

Results
Relative energy among the computed polymorphs   45 meV/atom
Crystal system   tetragonal
ρ   10.31 g/cm3
Density of states at the Fermi level   0.61 states/eV/atom
M_tot   0.000 μB per formula unit

=====

DFT (PBE-GGA) results for a relaxed structure of EuThAlCu.

Cell and atoms, written as extended XYZ:
```
4
Lattice="-0.739 2.998 4.190 -4.068 -0.861 3.131 0.751 -1.956 4.765" Properties=species:S:1:pos:R:3 pbc="T T T"
Al -3.042 0.136 9.065
Th -2.028 0.090 6.043
Cu -1.014 0.045 3.022
Eu 0.000 0.000 0.000
```

Results
Energy relative to the elements   -0.0787 eV/atom
Crystal system   cubic
ρ   7.90 g/cm3
Density of states at the Fermi level   0.88 states/eV/atom
M_tot   7.455 μB per formula unit

=====

DFT (PBE-GGA) results for a relaxed structure of Tb3Th.

Cell and atoms, written as extended XYZ:
```
4
Lattice="-1.249 2.242 2.532 0.686 -4.447 4.278 5.656 2.927 -2.370" Properties=species:S:1:pos:R:3 pbc="T T T"
Tb 1.956 2.763 1.084
Tb 2.913 -0.585 1.955
Tb -0.278 -1.121 3.422
Th 0.679 -4.402 4.234
```

Results
Energy relative to the elements   0.0432 eV/atom
Relative energy among the computed polymorphs   21 meV/atom
Crystal system   orthorhombic
ρ   9.12 g/cm3
Density of states at the Fermi level   1.68 states/eV/atom
M_tot   0.000 μB per formula unit

=====

DFT (PBE-GGA) results for a relaxed structure of Tb2InTc.

Cell and atoms, written as extended XYZ:
```
4
Lattice="3.448 0.000 0.000 1.724 2.986 0.000 1.724 0.995 10.592" Properties=species:S:1:pos:R:3 pbc="T T T"
Tb 1.724 0.995 7.300
Tb 5.171 2.986 3.293
In 0.000 0.000 0.000
Tc 3.448 1.990 5.296
```

Results
Energy relative to the elements   0.1943 eV/atom
Relative energy among the computed polymorphs   411 meV/atom
Crystal system   trigonal
ρ   8.08 g/cm3
Density of states at the Fermi level   1.20 states/eV/atom
M_tot   0.000 μB per formula unit

=====

DFT (PBE-GGA) results for a relaxed structure of CdAgRu.

Cell and atoms, written as extended XYZ:
```
3
Lattice="-5.539 -5.140 -1.635 -4.810 -5.645 1.049 -2.337 1.526 -0.445" Properties=species:S:1:pos:R:3 pbc="T T T"
Cd -4.979 -2.534 -0.492
Ru -7.679 -6.682 -0.539
Ag -2.366 1.482 -0.446
```

Results
Energy relative to the elements   0.4022 eV/atom
Relative energy among the computed polymorphs   334 meV/atom
Crystal system   orthorhombic
ρ   10.24 g/cm3
Density of states at the Fermi level   0.68 states/eV/atom
M_tot   1.013 μB per formula unit

=====

DFT (PBE-GGA) results for a relaxed structure of Sm2Y7Tm3.

Cell and atoms, written as extended XYZ:
```
12
Lattice="3.592 0.000 0.000 0.000 5.772 0.223 0.000 -1.966 18.559" Properties=species:S:1:pos:R:3 pbc="T T T"
Tm 0.000 3.258 11.891
Tm 0.000 0.549 6.892
Tm 1.796 2.886 0.112
Y 0.000 0.000 0.000
Y 0.000 0.178 15.985
Y 1.796 0.436 10.026
Y 1.796 3.111 15.418
Y 0.000 3.629 2.798
Y 1.796 3.371 8.757
Y 1.796 0.696 3.365
Sm 1.796 3.490 5.638
Sm 1.796 0.317 13.144
```

Results
Energy relative to the elements   0.0907 eV/atom
Relative energy among the computed polymorphs   11 meV/atom
Crystal system   monoclinic
ρ   6.15 g/cm3
Density of states at the Fermi level   1.29 states/eV/atom
M_tot   0.000 μB per formula unit

=====

DFT (PBE-GGA) results for a relaxed structure of Pm4Al2P.

Cell and atoms, written as extended XYZ:
```
7
Lattice="5.418 0.000 0.000 0.000 5.418 0.000 -2.709 -2.709 7.418" Properties=species:S:1:pos:R:3 pbc="T T T"
Pm 2.709 0.000 0.000
Pm 2.709 2.709 4.680
Pm 0.000 0.000 2.739
Pm 0.000 2.709 0.000
Al 2.709 2.709 1.647
Al 0.000 0.000 5.772
P 0.000 0.000 0.000
```

Results
Energy relative to the elements   -0.3882 eV/atom
Relative energy among the computed polymorphs   209 meV/atom
Crystal system   tetragonal
ρ   5.07 g/cm3
Density of states at the Fermi level   0.66 states/eV/atom
M_tot   0.000 μB per formula unit

=====

DFT (PBE-GGA) results for a relaxed structure of Tm2Si3Ni12Ir.

Cell and atoms, written as extended XYZ:
```
18
Lattice="-5.703 -2.338 0.991 1.584 -5.898 -1.295 1.080 -1.601 5.936" Properties=species:S:1:pos:R:3 pbc="T T T"
Ni -3.248 -4.958 5.192
Ni 0.967 -4.798 2.918
Ni -0.423 -6.789 1.590
Ni -2.368 -5.160 0.487
Ni -0.045 -2.715 4.083
Ni 0.423 -6.751 4.041
Ni -0.671 -4.677 5.146
Ni -4.005 -5.039 2.714
Ni -3.462 -3.085 1.591
Ni -2.616 -3.048 4.042
Ni 0.209 -4.879 0.440
Ni -2.993 -7.122 1.549
Si -2.852 -1.169 0.495
Si 0.540 -0.801 2.968
Si 0.792 -2.949 -0.648
Tm -0.945 -3.058 1.751
Tm -2.094 -6.779 3.881
Ir 0.000 0.000 0.000
```

Results
E_tot   -105.100 eV per cell
Crystal system   trigonal
ρ   9.10 g/cm3
Density of states at the Fermi level   1.06 states/eV/atom
M_tot   0.000 μB per formula unit

=====

DFT (PBE-GGA) results for a relaxed structure of SrAg2Te.

Cell and atoms, written as extended XYZ:
```
4
Lattice="-4.396 -4.366 -1.906 -3.696 -4.564 2.742 -6.320 -1.120 0.903" Properties=species:S:1:pos:R:3 pbc="T T T"
Te -10.456 -7.291 1.261
Ag -4.024 -2.806 0.485
Ag -14.256 -9.941 1.720
Sr -7.295 -5.087 0.880
```

Results
Relative energy among the computed polymorphs   52 meV/atom
Crystal system   trigonal
ρ   6.34 g/cm3
Density of states at the Fermi level   0.20 states/eV/atom
M_tot   0.000 μB per formula unit

=====

DFT (PBE-GGA) results for a relaxed structure of CsNaTa3.

Cell and atoms, written as extended XYZ:
```
5
Lattice="-0.690 3.223 3.800 -2.882 -3.388 2.350 4.065 -1.855 2.311" Properties=species:S:1:pos:R:3 pbc="T T T"
Ta -1.441 -1.694 1.175
Ta 2.032 -0.927 1.156
Ta -0.345 1.611 1.900
Na 0.000 0.000 0.000
Cs 0.246 -1.010 4.231
```

Results
Energy relative to the elements   2.8574 eV/atom
Relative energy among the computed polymorphs   0 meV/atom
Crystal system   cubic
ρ   9.12 g/cm3
Density of states at the Fermi level   1.18 states/eV/atom
M_tot   0.000 μB per formula unit

=====

DFT (PBE-GGA) results for a relaxed structure of KLi4Tc.

Cell and atoms, written as extended XYZ:
```
6
Lattice="0.000 4.042 4.042 4.042 0.000 4.042 4.042 4.042 0.000" Properties=species:S:1:pos:R:3 pbc="T T T"
Li 3.052 5.032 5.032
Li 5.032 5.032 3.052
Li 3.052 3.052 3.052
Li 5.032 3.052 5.032
Tc 6.063 6.063 6.063
K 0.000 0.000 0.000
```

Results
Energy relative to the elements   0.6856 eV/atom
Crystal system   cubic
ρ   2.07 g/cm3
Density of states at the Fermi level   0.81 states/eV/atom
M_tot   2.688 μB per formula unit

=====

DFT (PBE-GGA) results for a relaxed structure of ZrNi.

Cell and atoms, written as extended XYZ:
```
8
Lattice="-4.725 0.532 2.220 -0.030 -5.117 1.162 2.234 1.012 4.514" Properties=species:S:1:pos:R:3 pbc="T T T"
Ni -1.545 -3.295 1.503
Ni -2.795 -3.266 5.039
Ni -3.211 -1.290 1.879
Ni 0.273 -0.308 2.857
Zr -0.313 -2.927 3.734
Zr -2.208 -0.646 4.161
Zr -0.960 -0.926 0.683
Zr -3.796 -3.660 2.699
```

Results
Energy relative to the elements   -0.1644 eV/atom
Crystal system   tetragonal
ρ   7.04 g/cm3
Density of states at the Fermi level   0.81 states/eV/atom
M_tot   0.000 μB per formula unit

=====

DFT (PBE-GGA) results for a relaxed structure of RbBeOF2.

Cell and atoms, written as extended XYZ:
```
5
Lattice="4.301 0.000 0.000 0.000 4.301 0.000 0.000 0.000 3.310" Properties=species:S:1:pos:R:3 pbc="T T T"
Be 0.000 0.000 0.000
O 0.000 0.000 1.655
F 0.000 2.151 0.000
F 2.151 0.000 0.000
Rb 2.151 2.151 1.655
```

Results
Relative energy among the computed polymorphs   0 meV/atom
Crystal system   tetragonal
ρ   4.03 g/cm3
Density of states at the Fermi level   0.83 states/eV/atom
M_tot   1.000 μB per formula unit

=====

DFT (PBE-GGA) results for a relaxed structure of BaSeBr.

Cell and atoms, written as extended XYZ:
```
3
Lattice="-1.607 2.596 5.433 -0.459 -1.639 5.995 3.587 1.274 2.254" Properties=species:S:1:pos:R:3 pbc="T T T"
Se 1.481 1.156 5.672
Ba -1.944 0.963 11.231
Br -0.081 1.068 8.206
```

Results
Relative energy among the computed polymorphs   360 meV/atom
Crystal system   tetragonal
ρ   4.66 g/cm3
Density of states at the Fermi level   0.24 states/eV/atom
M_tot   0.952 μB per formula unit